# Fe2As2H2PbO10, optimized geometry, DFT PBE+U
data_Fe2As2H2PbO10
_chemical_formula_sum 'Fe4 As4 H4 Pb2 O20'
_cell_length_a 9.2739
_cell_length_b 6.2969
_cell_length_c 7.7249
_cell_angle_alpha 90.00
_cell_angle_beta 114.19
_cell_angle_gamma 90.00
_symmetry_space_group_name_H-M 'C 1 2/m 1'
_symmetry_Int_Tables_number 12
loop_
_symmetry_equiv_pos_as_xyz
'x,y,z'
'-x,-y,-z'
'-x,y,-z'
'x,-y,z'
'x+1/2,y+1/2,z'
'-x+1/2,-y+1/2,-z'
'-x+1/2,y+1/2,-z'
'x+1/2,-y+1/2,z'
loop_
_atom_site_label
_atom_site_type_symbol
_atom_site_fract_x
_atom_site_fract_y
_atom_site_fract_z
Fe1 Fe 0.2500 0.2500 0.0000
As1 As 0.0806 0.0000 0.2832
H1 H 0.2183 0.5000 0.2405
Pb1 Pb 0.0000 0.5000 0.5000
O1 O 0.0359 0.2257 0.7681
O2 O 0.1791 0.5000 0.1003
O3 O 0.1868 0.0000 0.1372
O4 O 0.2208 0.0000 0.5076
# * theoretical density: 5.1 g cm⁻³
# * final energy: -205.0 eV for the cell shown